First-principles (PBE-GGA) data for a relaxed PmNdSnHg crystal, as listed in Alexandria via LeMat-Bulk.

abc: 7.6818 7.6818 7.6818
angles: 90.00 90.00 90.00
With the nearest neighbours (Å) after each atom.
Space group F-43m (No. 216)
Inequivalent atoms, fractional coordinates:
Pm  0.0000  0.0000  0.0000 (multiplicity 4)  4 Hg 3.33, 4 Sn 3.33
Nd  0.0000  0.0000  0.5000 (multiplicity 4)  4 Sn 3.33, 4 Hg 3.33
Sn  0.2500  0.2500  0.7500 (multiplicity 4)  4 Nd 3.33, 4 Pm 3.33
Hg  0.2500  0.2500  0.2500 (multiplicity 4)  4 Nd 3.33, 4 Pm 3.33

Values from the calculation:
energy above the most stable polymorph in this dataset = 0 meV/atom
total moment = 0.000 μB/cell
energy of formation from the pure elements = -0.6030 eV/atom